No. 1
A relaxed Tm4MgCd3 crystal, computed with PBE-GGA.

Cell lengths 3.7182, 3.7182, 14.7652 Å; angles 90.00, 90.00, 90.00 degrees
Last column: nearest neighbours and their distance in Å.
Element x y z (fractional)
Tm: 0.0000 0.0000 0.1243  8 Cd 3.21-3.22
Tm: 0.0000 0.0000 0.3728  4 Cd 3.19, 4 Mg 3.23
Tm: 0.0000 0.0000 0.6272  4 Cd 3.19, 4 Mg 3.23
Tm: 0.0000 0.0000 0.8757  8 Cd 3.21-3.22
Mg: 0.5000 0.5000 0.5000  8 Tm 3.23
Cd: 0.5000 0.5000 0.0000  8 Tm 3.21
Cd: 0.5000 0.5000 0.2507  8 Tm 3.19-3.22
Cd: 0.5000 0.5000 0.7493  8 Tm 3.19-3.22

Calculated values
Electronic total energy = -3.0257 eV per atom
Space group = P4/mmm (123)
Total magnetic moment = 0.0 Bohr magnetons per cell


No. 2
A relaxed Sr3TbU3N8 crystal, computed with PBE-GGA.

Cell lengths 7.2498, 7.2498, 7.2498 Å; angles 58.11, 58.11, 58.11 degrees
Last column: nearest neighbours and their distance in Å.
Element x y z (fractional)
Sr: 0.0000 0.5000 0.5000  6 N 2.71-2.85
Sr: 0.5000 0.0000 0.5000  6 N 2.71-2.85
Sr: 0.5000 0.5000 0.0000  6 N 2.71-2.85
Tb: 0.5000 0.5000 0.5000  6 N 2.40
U: 0.0000 0.0000 0.5000  6 N 2.24-2.37
U: 0.0000 0.5000 0.0000  6 N 2.24-2.37
U: 0.5000 0.0000 0.0000  6 N 2.24-2.37
N: 0.2066 0.7353 0.7353  2 U 2.24, 1 Tb 2.40
N: 0.2342 0.2342 0.2342  3 U 2.37
N: 0.2647 0.2647 0.7934  2 U 2.24, 1 Tb 2.40
N: 0.2647 0.7934 0.2647  2 U 2.24, 1 Tb 2.40
N: 0.7353 0.2065 0.7353  2 U 2.24, 1 Tb 2.40
N: 0.7353 0.7353 0.2065  2 U 2.24, 1 Tb 2.40
N: 0.7658 0.7658 0.7658  3 U 2.37
N: 0.7935 0.2647 0.2647  2 U 2.24, 1 Tb 2.40

Calculated values
Electronic total energy = -8.5190 eV per atom
Space group = R-3m (166)
Total magnetic moment = 2.7 Bohr magnetons per cell


No. 3
A relaxed RbCaHgI5 crystal, computed with PBE-GGA.

Cell lengths 8.7021, 8.7021, 11.4553 Å; angles 104.28, 104.28, 105.41 degrees
Last column: nearest neighbours and their distance in Å.
Element x y z (fractional)
Rb: 0.1554 0.8446 0.7500  5 I 3.67-3.77
Rb: 0.8446 0.1554 0.2500  5 I 3.67-3.77
Ca: 0.5000 0.5000 0.0000  6 I 3.07-3.21
Ca: 0.5000 0.5000 0.5000  6 I 3.07-3.21
Hg: 0.1829 0.8171 0.2500  4 I 2.85-2.89
Hg: 0.8171 0.1829 0.7500  4 I 2.85-2.89
I: 0.1284 0.2466 0.9477  1 Hg 2.89, 1 Ca 3.21
I: 0.1715 0.5913 0.3934  1 Hg 2.85
I: 0.2466 0.1284 0.4477  1 Hg 2.89, 1 Ca 3.21
I: 0.4087 0.8285 0.1066  1 Hg 2.85
I: 0.4207 0.5793 0.7500  2 Ca 3.07
I: 0.5793 0.4207 0.2500  2 Ca 3.07
I: 0.5913 0.1715 0.8934  1 Hg 2.85
I: 0.7534 0.8716 0.5523  1 Hg 2.89, 1 Ca 3.21
I: 0.8285 0.4087 0.6066  1 Hg 2.85
I: 0.8716 0.7534 0.0523  1 Hg 2.89, 1 Ca 3.21

Calculated values
Electronic total energy = -2.4583 eV per atom
Space group = C2/c (15)
Total magnetic moment = 0.0 Bohr magnetons per cell


No. 4
A relaxed MnZn2Os crystal, computed with PBE-GGA.

Cell lengths 4.5834, 4.5834, 4.6325 Å; angles 100.38, 100.38, 35.22 degrees
Last column: nearest neighbours and their distance in Å.
Element x y z (fractional)
Mn: 0.0000 0.0000 0.0000  3 Os 2.53-2.60, 7 Zn 2.67-2.76, 2 Mn 2.77
Zn: 0.5086 0.5086 0.5111  5 Zn 2.53-2.77, 4 Mn 2.67-2.73, 3 Os 2.73-2.77
Zn: 0.7524 0.7524 0.2915  5 Zn 2.53-2.77, 4 Os 2.66-2.74, 3 Mn 2.74-2.76
Os: 0.2602 0.2602 0.8036  3 Mn 2.53-2.60, 7 Zn 2.66-2.77, 2 Os 2.77

Calculated values
Electronic total energy = -5.5824 eV per atom
Space group = Cm (8)
Total magnetic moment = 2.3 Bohr magnetons per cell


No. 5
A relaxed TiIn2Ni crystal, computed with PBE-GGA.

Cell lengths 3.0867, 3.0867, 7.3414 Å; angles 90.00, 90.00, 90.00 degrees
Last column: nearest neighbours and their distance in Å.
Element x y z (fractional)
Ti: 0.0000 0.0000 0.0000  8 In 2.99, 4 Ti 3.09
In: 0.5000 0.5000 0.2777  4 Ni 2.73, 4 Ti 2.99
In: 0.5000 0.5000 0.7223  4 Ni 2.73, 4 Ti 2.99
Ni: 0.0000 0.0000 0.5000  8 In 2.73

Calculated values
Electronic total energy = -4.9111 eV per atom
Space group = P4/mmm (123)
Total magnetic moment = 0.0 Bohr magnetons per cell


No. 6
A relaxed ZrTc2Br crystal, computed with PBE-GGA.

Cell lengths 5.0308, 5.0308, 4.8932 Å; angles 105.17, 105.17, 36.50 degrees
Last column: nearest neighbours and their distance in Å.
Element x y z (fractional)
Zr: 0.0000 0.0000 0.0000  3 Br 2.73-2.82, 4 Tc 2.85-2.97
Tc: 0.4981 0.4981 0.4846  2 Tc 2.53
Tc: 0.7825 0.7825 0.3954  2 Tc 2.53, 2 Br 2.70
Br: 0.2462 0.2462 0.8192  4 Tc 2.70-2.94, 3 Zr 2.73-2.82

Calculated values
Electronic total energy = -7.4130 eV per atom
Space group = Cm (8)
Total magnetic moment = 0.0 Bohr magnetons per cell


No. 7
A relaxed EuSnHgAu crystal, computed with PBE-GGA.

Cell lengths 5.1768, 5.1768, 5.1768 Å; angles 60.00, 60.00, 60.00 degrees
Last column: nearest neighbours and their distance in Å.
Element x y z (fractional)
Eu: 0.0000 0.0000 0.0000  4 Au 3.17, 4 Hg 3.17
Sn: 0.5000 0.5000 0.5000  4 Hg 3.17, 4 Au 3.17
Hg: 0.2500 0.2500 0.2500  4 Sn 3.17, 4 Eu 3.17
Au: 0.7500 0.7500 0.7500  4 Sn 3.17, 4 Eu 3.17

Calculated values
Electronic total energy = -4.9810 eV per atom
Space group = F-43m (216)
Total magnetic moment = 6.9 Bohr magnetons per cell


No. 8
A relaxed ReSi2Os crystal, computed with PBE-GGA.

Cell lengths 7.9957, 7.9957, 7.9957 Å; angles 20.79, 20.79, 20.79 degrees
Last column: nearest neighbours and their distance in Å.
Element x y z (fractional)
Re: 0.0000 0.0000 0.0000  3 Si 2.50, 3 Os 2.75
Si: 0.4967 0.4967 0.4967  3 Os 2.45, 3 Si 2.58
Si: 0.7460 0.7460 0.7460  3 Re 2.50, 3 Si 2.58
Os: 0.2400 0.2400 0.2400  3 Si 2.45

Calculated values
Electronic total energy = -8.6182 eV per atom
Space group = R3m (160)
Total magnetic moment = 0.0 Bohr magnetons per cell